Crystalline Li2GaBr at its relaxed geometry. Source: Alexandria via LeMat-Bulk, functional PBE.

Values from the calculation:
The uncorrected formation energy comes out at -0.505 eV per atom. The calculation puts the electronic total energy at -2.64 eV/atom. The calculation puts the volume at 21.7 A^3/atom. As for the space group: I-42d. The calculation puts the energy above the lowest structure with this stoichiometry at 0.000 eV/atom.

Cell: 7.2065 7.2065 6.0969 Å, 53.77 53.77 90.00°
Last column: nearest neighbours and their distance in Å.
Atoms (fractional coordinates):
Li (0.8750, 0.9090, 0.7500)  2 Br 2.52
Br (0.7500, 0.2500, 0.5000)  4 Li 2.52
Li (0.3750, 0.3410, 0.7500)  2 Br 2.52
Li (0.6590, 0.1250, 0.2500)  2 Br 2.52
Br (0.0000, 0.0000, 0.0000)  4 Li 2.52
Ga (0.2500, 0.7500, 0.5000)  4 Li 2.85
Li (0.0911, 0.6250, 0.2500)  2 Br 2.52
Ga (0.5000, 0.5000, 0.0000)  4 Li 2.85